# Al3BiB, optimized geometry, DFT PBE
# **ΔH_f (0 K)**: 1.31 eV per formula unit
# **Offset from the most stable computed form**: 0.0 meV per atom
# **N(E_F)**: 0.3437 states/eV/atom
# **Magnetic moment**: 0.0000 μB/atom
data_Al3BiB
_chemical_formula_sum 'Al3 Bi1 B1'
_space_group_name_H-M_alt 'P 1'
_space_group_IT_number 1
_cell_length_a 4.461
_cell_length_b 4.461
_cell_length_c 4.461
_cell_angle_alpha 90.00
_cell_angle_beta 90.00
_cell_angle_gamma 90.00
loop_
_space_group_symop_operation_xyz
'x,y,z'
loop_
_atom_site_label
_atom_site_type_symbol
_atom_site_fract_x
_atom_site_fract_y
_atom_site_fract_z
Al1 Al 0.500 0.000 0.000
Al2 Al 0.000 0.500 0.000
B1 B 0.000 0.000 0.000
Al3 Al 0.000 0.000 0.500
Bi1 Bi 0.500 0.500 0.500